The following is a DFT calculation (PBE) of an optimized crystal structure of PaGaTc.

Unit cell a=5.8613 b=5.8613 c=4.9403 alpha=102.57 beta=102.57 gamma=47.09
Last column: nearest neighbours and their distance in Å.
Fractional coordinates of all 6 atoms:
Pa 0.1278 0.1278 0.3111  2 Tc 2.54-2.55
Pa 0.8722 0.8722 0.6889  2 Tc 2.54-2.55
Ga 0.4242 0.4242 0.2067  3 Tc 2.61-2.75, 1 Ga 2.90
Ga 0.5758 0.5758 0.7933  3 Tc 2.61-2.75, 1 Ga 2.90
Tc 0.1870 0.1870 0.8420  2 Pa 2.54-2.55, 3 Ga 2.61-2.75
Tc 0.8130 0.8130 0.1580  2 Pa 2.54-2.55, 3 Ga 2.61-2.75

Computed properties:
calculated density = 10.97 Mg/m³
energy of formation = -450 meV per atom
DFT total energy = -0.2969 Ha/atom
size of the total moment = 0.000 μB/atom